# 1
A relaxed TbPaCoO6 crystal, computed with PBE+U.

a = 5.2866 Å, b = 5.2866 Å, c = 4.8146 Å
α = 90.00°, β = 90.00°, γ = 120.00°
Closest atoms and distances in Å follow each position.
Element x y z (fractional)
Tb  0.0000  0.0000  0.0000  6 O 2.25
Pa  0.3333  0.6667  0.5000  6 O 2.20
Co  0.6667  0.3333  0.0000  6 O 1.93
O  0.3808  0.0251  0.7667  1 Co 1.93
O  0.3808  0.3558  0.2333  1 Co 1.93
O  0.6442  0.0251  0.2333  1 Co 1.93
O  0.6442  0.6192  0.7667  1 Co 1.93
O  0.9749  0.3558  0.7667  1 Co 1.93
O  0.9749  0.6192  0.2333  1 Co 1.93

# 2
A relaxed PaCo2TeO8 crystal, computed with PBE+U.

a = 5.8263 Å, b = 5.8263 Å, c = 5.8263 Å
α = 109.07°, β = 109.07°, γ = 110.27°
Closest atoms and distances in Å follow each position.
Element x y z (fractional)
Pa  0.0000  0.0000  0.0000  4 O 2.18
Co  0.5000  0.5000  0.0000  4 O 1.84
Co  0.7500  0.2500  0.5000  4 O 1.89
Te  0.2500  0.7500  0.5000  8 O 2.09-2.24
O  0.3081  0.1124  0.8043  1 Co 1.84
O  0.3081  0.5038  0.1957  1 Co 1.84
O  0.3528  0.0325  0.3203  1 Co 1.89
O  0.4962  0.6919  0.8043  1 Co 1.84
O  0.7122  0.0325  0.6797  1 Co 1.89
O  0.8876  0.6919  0.1957  1 Co 1.84
O  0.9675  0.2878  0.3203  1 Co 1.89
O  0.9675  0.6472  0.6797  1 Co 1.89

# 3
A relaxed PaCoTe2O8 crystal, computed with PBE+U.

a = 6.2310 Å, b = 6.2310 Å, c = 5.7416 Å
α = 90.00°, β = 90.00°, γ = 120.00°
Closest atoms and distances in Å follow each position.
Element x y z (fractional)
Pa  0.0000  0.0000  0.0000  6 O 2.21
Co  0.0000  0.0000  0.5000  6 O 1.94
Te  0.3333  0.6667  0.3001  1 O 1.82
Te  0.6667  0.3333  0.6999  1 O 1.82
O  0.1385  0.2770  0.2833  1 Co 1.94, 1 Te 2.10
O  0.1385  0.8615  0.2833  1 Co 1.94, 1 Te 2.10
O  0.2770  0.1385  0.7167  1 Co 1.94, 1 Te 2.10
O  0.3333  0.6667  0.9825  1 Te 1.82
O  0.6667  0.3333  0.0175  1 Te 1.82
O  0.7230  0.8615  0.2833  1 Co 1.94, 1 Te 2.10
O  0.8615  0.1385  0.7167  1 Co 1.94, 1 Te 2.10
O  0.8615  0.7230  0.7167  1 Co 1.94, 1 Te 2.10

# 4
A relaxed PaCoTeO6 crystal, computed with PBE+U.

a = 5.6018 Å, b = 5.6018 Å, c = 8.9061 Å
α = 90.00°, β = 90.00°, γ = 120.00°
Closest atoms and distances in Å follow each position.
Element x y z (fractional)
Pa  0.3333  0.6667  0.2500  6 O 2.21
Pa  0.6667  0.3333  0.7500  6 O 2.21
Co  0.0000  0.0000  0.0000  6 O 2.21
Co  0.0000  0.0000  0.5000  6 O 2.21
Te  0.3333  0.6667  0.7500  6 O 2.09
Te  0.6667  0.3333  0.2500  6 O 2.09
O  0.0161  0.3461  0.6287  1 Te 2.09, 1 Pa 2.21, 1 Co 2.21
O  0.0161  0.6700  0.8713  1 Te 2.09, 1 Pa 2.21, 1 Co 2.21
O  0.3300  0.3461  0.8713  1 Te 2.09, 1 Pa 2.21, 1 Co 2.21
O  0.3300  0.9839  0.6287  1 Te 2.09, 1 Pa 2.21, 1 Co 2.21
O  0.3461  0.0161  0.1287  1 Te 2.09, 1 Pa 2.21, 1 Co 2.21
O  0.3461  0.3300  0.3713  1 Te 2.09, 1 Pa 2.21, 1 Co 2.21
O  0.6539  0.6700  0.6287  1 Te 2.09, 1 Pa 2.21, 1 Co 2.21
O  0.6539  0.9839  0.8713  1 Te 2.09, 1 Pa 2.21, 1 Co 2.21
O  0.6700  0.0161  0.3713  1 Te 2.09, 1 Pa 2.21, 1 Co 2.21
O  0.6700  0.6539  0.1287  1 Te 2.09, 1 Pa 2.21, 1 Co 2.21
O  0.9839  0.3300  0.1287  1 Te 2.09, 1 Pa 2.21, 1 Co 2.21
O  0.9839  0.6539  0.3713  1 Te 2.09, 1 Pa 2.21, 1 Co 2.21

# 5
A relaxed PaTiCoO6 crystal, computed with PBE+U.

a = 5.4480 Å, b = 5.4480 Å, c = 8.5724 Å
α = 90.00°, β = 90.00°, γ = 120.00°
Closest atoms and distances in Å follow each position.
Element x y z (fractional)
Pa  0.3333  0.6667  0.2500  6 O 2.18
Pa  0.6667  0.3333  0.7500  6 O 2.18
Ti  0.3333  0.6667  0.7500  6 O 1.98
Ti  0.6667  0.3333  0.2500  6 O 1.98
Co  0.0000  0.0000  0.0000  6 O 2.16
Co  0.0000  0.0000  0.5000  6 O 2.16
O  0.0283  0.3531  0.6294  1 Ti 1.98, 1 Co 2.16, 1 Pa 2.18
O  0.0283  0.6752  0.8706  1 Ti 1.98, 1 Co 2.16, 1 Pa 2.18
O  0.3248  0.3531  0.8706  1 Ti 1.98, 1 Co 2.16, 1 Pa 2.18
O  0.3248  0.9717  0.6294  1 Ti 1.98, 1 Co 2.16, 1 Pa 2.18
O  0.3531  0.0283  0.1294  1 Ti 1.98, 1 Co 2.16, 1 Pa 2.18
O  0.3531  0.3248  0.3706  1 Ti 1.98, 1 Co 2.16, 1 Pa 2.18
O  0.6469  0.6752  0.6294  1 Ti 1.98, 1 Co 2.16, 1 Pa 2.18
O  0.6469  0.9717  0.8706  1 Ti 1.98, 1 Co 2.16, 1 Pa 2.18
O  0.6752  0.0283  0.3706  1 Ti 1.98, 1 Co 2.16, 1 Pa 2.18
O  0.6752  0.6469  0.1294  1 Ti 1.98, 1 Co 2.16, 1 Pa 2.18
O  0.9717  0.3248  0.1294  1 Ti 1.98, 1 Co 2.16, 1 Pa 2.18
O  0.9717  0.6469  0.3706  1 Ti 1.98, 1 Co 2.16, 1 Pa 2.18

# 6
A relaxed PaTi2CoO8 crystal, computed with PBE+U.

a = 4.8289 Å, b = 4.8289 Å, c = 6.1575 Å
α = 90.00°, β = 90.00°, γ = 87.57°
Closest atoms and distances in Å follow each position.
Element x y z (fractional)
Pa  0.0000  0.0000  0.0000  6 O 2.15-2.22
Ti  0.4793  0.4793  0.2700  5 O 1.82-2.01
Ti  0.5207  0.5207  0.7300  5 O 1.82-2.01
Co  0.0000  0.0000  0.5000  4 O 1.93
O  0.1990  0.8000  0.7257  1 Co 1.93, 1 Ti 2.01, 1 Pa 2.15
O  0.2000  0.8010  0.2743  1 Co 1.93, 1 Ti 2.01, 1 Pa 2.15
O  0.3163  0.3163  0.5013  2 Ti 1.82-2.00
O  0.3185  0.3185  0.0102  1 Ti 1.95
O  0.6815  0.6815  0.9898  1 Ti 1.95
O  0.6837  0.6837  0.4987  2 Ti 1.82-2.00
O  0.8000  0.1990  0.7257  1 Co 1.93, 1 Ti 2.01, 1 Pa 2.15
O  0.8010  0.2000  0.2743  1 Co 1.93, 1 Ti 2.01, 1 Pa 2.15

# 7
A relaxed PaTlCo2O8 crystal, computed with PBE+U.

a = 5.9811 Å, b = 5.9811 Å, c = 5.9811 Å
α = 107.67°, β = 107.67°, γ = 113.15°
Closest atoms and distances in Å follow each position.
Element x y z (fractional)
Pa  0.0000  0.0000  0.0000  8 O 2.20-2.42
Tl  0.2500  0.7500  0.5000  4 O 2.27
Co  0.5000  0.5000  0.0000  4 O 1.80
Co  0.7500  0.2500  0.5000  4 O 1.79
O  0.3099  0.1268  0.8169  1 Co 1.80
O  0.3099  0.4930  0.1831  1 Co 1.80
O  0.3816  0.0784  0.3033  1 Co 1.79
O  0.5070  0.6901  0.8169  1 Co 1.80
O  0.7751  0.0784  0.6967  1 Co 1.79
O  0.8732  0.6901  0.1831  1 Co 1.80
O  0.9216  0.2249  0.3033  1 Co 1.79
O  0.9216  0.6184  0.6967  1 Co 1.79

# 8
A relaxed PaTl2CoO4 crystal, computed with PBE+U.

a = 5.8723 Å, b = 5.8723 Å, c = 5.8723 Å
α = 113.37°, β = 113.37°, γ = 101.92°
Closest atoms and distances in Å follow each position.
Element x y z (fractional)
Pa  0.0000  0.0000  0.0000  4 O 2.09
Tl  0.2500  0.7500  0.5000  4 O 2.94
Tl  0.5000  0.5000  0.0000  4 O 2.92
Co  0.7500  0.2500  0.5000  4 O 1.98
O  0.0275  0.6275  0.8285  1 Co 1.98, 1 Pa 2.09
O  0.3725  0.2010  0.4000  1 Co 1.98, 1 Pa 2.09
O  0.7990  0.1990  0.1715  1 Co 1.98, 1 Pa 2.09
O  0.8010  0.9725  0.6000  1 Co 1.98, 1 Pa 2.09

# 9
A relaxed PaTl2Co2O6 crystal, computed with PBE+U.

a = 5.7625 Å, b = 5.7625 Å, c = 7.6775 Å
α = 90.00°, β = 90.00°, γ = 120.00°
Closest atoms and distances in Å follow each position.
Element x y z (fractional)
Pa  0.0000  0.0000  0.0000  6 O 2.20
Tl  0.3333  0.6667  0.3494  3 O 2.59
Tl  0.6667  0.3333  0.6506  3 O 2.59
Co  0.3333  0.6667  0.8419  3 O 1.82
Co  0.6667  0.3333  0.1581  3 O 1.82
O  0.0403  0.3312  0.8369  1 Co 1.82
O  0.2909  0.9597  0.8369  1 Co 1.82
O  0.3312  0.2909  0.1631  1 Co 1.82
O  0.6688  0.7091  0.8369  1 Co 1.82
O  0.7091  0.0403  0.1631  1 Co 1.82
O  0.9597  0.6688  0.1631  1 Co 1.82

# 10
A relaxed PaTl2CoO6 crystal, computed with PBE+U.

a = 5.7411 Å, b = 5.7411 Å, c = 5.7411 Å
α = 60.00°, β = 60.00°, γ = 60.00°
Closest atoms and distances in Å follow each position.
Element x y z (fractional)
Pa  0.0000  0.0000  0.0000  6 O 2.17
Tl  0.2499  0.2499  0.2499  9 O 2.71-2.88
Tl  0.7501  0.7501  0.7501  9 O 2.71-2.88
Co  0.5000  0.5000  0.5000  6 O 1.90
O  0.2372  0.7330  0.2957  1 Co 1.90
O  0.2670  0.7043  0.7628  1 Co 1.90
O  0.2957  0.2372  0.7330  1 Co 1.90
O  0.7043  0.7628  0.2670  1 Co 1.90
O  0.7330  0.2957  0.2372  1 Co 1.90
O  0.7628  0.2670  0.7043  1 Co 1.90

# 11
A relaxed PaTl2CoO8 crystal, computed with PBE+U.

a = 6.0281 Å, b = 6.0281 Å, c = 5.5803 Å
α = 90.00°, β = 90.00°, γ = 120.00°
Closest atoms and distances in Å follow each position.
Element x y z (fractional)
Pa  0.0000  0.0000  0.0000  6 O 2.20
Tl  0.3333  0.6667  0.5325  4 O 2.09-2.22
Tl  0.6667  0.3333  0.4675  4 O 2.09-2.22
Co  0.0000  0.0000  0.5000  6 O 1.91
O  0.1439  0.2878  0.7116  1 Co 1.91
O  0.1439  0.8561  0.7116  1 Co 1.91
O  0.2878  0.1439  0.2884  1 Co 1.91
O  0.3333  0.6667  0.1584  1 Tl 2.09
O  0.6667  0.3333  0.8416  1 Tl 2.09
O  0.7122  0.8561  0.7116  1 Co 1.91
O  0.8561  0.1439  0.2884  1 Co 1.91
O  0.8561  0.7122  0.2884  1 Co 1.91

# 12
A relaxed Pa3TlCo4O12 crystal, computed with PBE+U.

a = 7.3306 Å, b = 7.3306 Å, c = 7.3306 Å
α = 105.58°, β = 105.58°, γ = 105.58°
Closest atoms and distances in Å follow each position.
Element x y z (fractional)
Pa  0.0000  0.5530  0.4470  6 O 2.07-2.28
Pa  0.4469  0.0000  0.5530  6 O 2.07-2.28
Pa  0.5530  0.4469  0.0000  6 O 2.07-2.28
Tl  0.0000  0.0000  0.0000  6 O 3.01
Co  0.0524  0.5000  0.9476  3 O 1.88
Co  0.5000  0.5000  0.5000  3 O 1.89
Co  0.5000  0.9476  0.0524  3 O 1.88
Co  0.9476  0.0524  0.5000  3 O 1.88
O  0.0302  0.6182  0.7486  1 Co 1.88, 1 Pa 2.07
O  0.1088  0.8912  0.5000  1 Co 1.88
O  0.2514  0.3818  0.9698  1 Co 1.88, 1 Pa 2.07
O  0.3382  0.6618  0.5000  1 Co 1.89
O  0.3818  0.9698  0.2514  1 Co 1.88, 1 Pa 2.07
O  0.5000  0.1088  0.8912  1 Co 1.88
O  0.5000  0.3382  0.6618  1 Co 1.89
O  0.6182  0.7486  0.0302  1 Co 1.88, 1 Pa 2.07
O  0.6618  0.5000  0.3382  1 Co 1.89
O  0.7486  0.0302  0.6182  1 Co 1.88, 1 Pa 2.07
O  0.8912  0.5000  0.1088  1 Co 1.88
O  0.9698  0.2514  0.3818  1 Co 1.88, 1 Pa 2.07

no.,calculated volume (Å³/f.u.),raw total energy (eV per atom)
1,117,-7.928
2,152,-6.773
3,193,-6.569
4,121,-7.053
5,110,-8.231
6,143,-8.519
7,164,-6.541
8,154,-6.570
9,221,-6.520
10,134,-6.513
11,176,-6.002
12,340,-7.737